Here is K3Re at its PBEsol-relaxed geometry from the Alexandria database. Energies are from meta-GGA SCAN.

* energy relative to the elements: 141.7 kJ/mol of atoms
* crystal system: trigonal
* magnetization: 0.001 Bohr magnetons per cell
* excess energy over the best structure of this formula in the dataset: 0 meV/atom
* ρ: 4.34 g/cm3

Lattice parameters (Å, degrees): 13.945 13.945 13.945 12.83 12.83 12.83
Element x y z (fractional)
K (0.000, 0.000, 0.000)
K (0.233, 0.233, 0.233)
K (0.767, 0.767, 0.767)
Re (0.500, 0.500, 0.500)

=====

Here is K2ReRh at its PBEsol-relaxed geometry from the Alexandria database. Energies are from meta-GGA SCAN.

* energy relative to the elements: 99.0 kJ/mol of atoms
* crystal system: orthorhombic
* magnetization: 0.000 Bohr magnetons per cell
* excess energy over the best structure of this formula in the dataset: 297 meV/atom
* ρ: 5.62 g/cm3

Lattice parameters (Å, degrees): 5.851 5.851 5.851 139.59 121.25 73.73
Element x y z (fractional)
K (0.000, 0.000, 0.000)
K (0.698, 0.198, 0.500)
Re (0.296, 0.796, 0.500)
Rh (0.414, 0.414, 0.000)

=====

Here is KRe3Rh at its PBEsol-relaxed geometry from the Alexandria database. Energies are from meta-GGA SCAN.

* energy relative to the elements: 389.2 kJ/mol of atoms
* crystal system: cubic
* magnetization: 0.002 Bohr magnetons per cell
* ρ: 14.13 g/cm3

Lattice parameters (Å, degrees): 4.350 4.350 4.350 90.00 90.00 90.00
Element x y z (fractional)
K (0.000, 0.000, 0.000)
Re (0.000, 0.000, 0.500)
Re (0.000, 0.500, 0.000)
Re (0.500, 0.000, 0.000)
Rh (0.500, 0.500, 0.500)

=====

Here is K2ReRh at its PBEsol-relaxed geometry from the Alexandria database. Energies are from meta-GGA SCAN.

* energy relative to the elements: 104.1 kJ/mol of atoms
* crystal system: orthorhombic
* magnetization: 0.334 Bohr magnetons per cell
* excess energy over the best structure of this formula in the dataset: 350 meV/atom
* ρ: 8.03 g/cm3

Lattice parameters (Å, degrees): 2.745 2.745 11.353 90.00 90.00 117.46
Element x y z (fractional)
K (0.000, 0.000, 0.238)
K (0.000, 0.000, 0.762)
Re (0.500, 0.500, 0.500)
Rh (0.500, 0.500, 0.000)

=====

- Look up the magnetization of the third one.
  0.002 Bohr magnetons per cell